No. 1
# Ca2ZnBr (PBE-GGA, relaxed)
# **Calculated volume**: 116.71 Å³/cell
# **VASP energy**: -2.440 eV per atom
# **Formation energy (no corrections)**: -0.703 eV per atom
data_Ca2ZnBr
_symmetry_space_group_name_H-M 'P m m 2'
_symmetry_Int_Tables_number 25
_symmetry_space_group_name_Hall 'P 2 -2'
_cell_length_a 4.296
_cell_length_b 4.374
_cell_length_c 6.211
_cell_angle_alpha 90.00
_cell_angle_beta 90.00
_cell_angle_gamma 90.00
loop_
_atom_site_label
_atom_site_type_symbol
_atom_site_fract_x
_atom_site_fract_y
_atom_site_fract_z
_atom_site_occupancy
Ca1 Ca 0.000 0.000 0.000 1
Ca2 Ca 0.500 0.500 0.499 1
Zn1 Zn 0.000 0.000 0.500 1
Br1 Br 0.500 0.500 0.999 1

No. 2
# Ca2ZnBr (PBE-GGA, relaxed)
# **Calculated volume**: 133.41 Å³/cell
# **VASP energy**: -2.310 eV per atom
# **Formation energy (no corrections)**: -0.573 eV per atom
data_Ca2ZnBr
_symmetry_space_group_name_H-M 'P 4 m m'
_symmetry_Int_Tables_number 99
_symmetry_space_group_name_Hall 'P 4 -2'
_cell_length_a 3.860
_cell_length_b 3.860
_cell_length_c 8.956
_cell_angle_alpha 90.00
_cell_angle_beta 90.00
_cell_angle_gamma 90.00
loop_
_atom_site_label
_atom_site_type_symbol
_atom_site_fract_x
_atom_site_fract_y
_atom_site_fract_z
_atom_site_occupancy
Ca1 Ca 0.000 0.000 0.000 1
Ca2 Ca 0.500 0.500 0.322 1
Zn1 Zn 0.000 0.000 0.488 1
Br1 Br 0.500 0.500 0.848 1

No. 3
# Ca2ZnBr (PBE-GGA, relaxed)
# **Calculated volume**: 221.23 Å³/cell
# **VASP energy**: -2.245 eV per atom
# **Formation energy (no corrections)**: -0.508 eV per atom
data_Ca2ZnBr
_symmetry_space_group_name_H-M 'I 4/m m m'
_symmetry_Int_Tables_number 139
_symmetry_space_group_name_Hall '-I 4 2'
_cell_length_a 5.063
_cell_length_b 5.063
_cell_length_c 8.632
_cell_angle_alpha 90.00
_cell_angle_beta 90.00
_cell_angle_gamma 90.00
loop_
_atom_site_label
_atom_site_type_symbol
_atom_site_fract_x
_atom_site_fract_y
_atom_site_fract_z
_atom_site_occupancy
Ca1 Ca 0.000 0.500 0.250 1
Zn1 Zn 0.000 0.000 0.000 1
Br1 Br 0.000 0.000 0.500 1

No. 4
# Ca2ZnBr (PBE-GGA, relaxed)
# **Calculated volume**: 228.03 Å³/cell
# **VASP energy**: -2.390 eV per atom
# **Formation energy (no corrections)**: -0.653 eV per atom
data_Ca2ZnBr
_symmetry_space_group_name_H-M 'C 1 m 1'
_symmetry_Int_Tables_number 8
_symmetry_space_group_name_Hall 'C -2y'
_cell_length_a 12.121
_cell_length_b 3.707
_cell_length_c 5.075
_cell_angle_alpha 90.00
_cell_angle_beta 90.02
_cell_angle_gamma 90.00
loop_
_atom_site_label
_atom_site_type_symbol
_atom_site_fract_x
_atom_site_fract_y
_atom_site_fract_z
_atom_site_occupancy
Ca1 Ca 0.000 0.000 0.000 1
Ca2 Ca 0.243 0.500 0.499 1
Zn1 Zn 0.481 0.000 0.500 1
Br1 Br 0.250 0.000 0.999 1

No. 5
# CaZn2Br (PBE-GGA, relaxed)
# **Calculated volume**: 223.17 Å³/cell
# **VASP energy**: -2.153 eV per atom
# **Formation energy (no corrections)**: -0.597 eV per atom
data_CaZn2Br
_symmetry_space_group_name_H-M 'C 1 m 1'
_symmetry_Int_Tables_number 8
_symmetry_space_group_name_Hall 'C -2y'
_cell_length_a 7.618
_cell_length_b 4.400
_cell_length_c 6.658
_cell_angle_alpha 90.00
_cell_angle_beta 90.52
_cell_angle_gamma 90.00
loop_
_atom_site_label
_atom_site_type_symbol
_atom_site_fract_x
_atom_site_fract_y
_atom_site_fract_z
_atom_site_occupancy
Ca1 Ca 0.000 0.000 0.000 1
Zn1 Zn 0.164 0.500 0.704 1
Zn2 Zn 0.331 0.000 0.723 1
Br1 Br 0.168 0.500 0.239 1

No. 6
# Ca2ZnBr (PBE-GGA, relaxed)
# **Calculated volume**: 238.74 Å³/cell
# **VASP energy**: -2.295 eV per atom
# **Formation energy (no corrections)**: -0.557 eV per atom
data_Ca2ZnBr
_symmetry_space_group_name_H-M 'I -4 m 2'
_symmetry_Int_Tables_number 119
_symmetry_space_group_name_Hall 'I -4 -2'
_cell_length_a 4.342
_cell_length_b 4.342
_cell_length_c 12.661
_cell_angle_alpha 90.00
_cell_angle_beta 90.00
_cell_angle_gamma 90.00
loop_
_atom_site_label
_atom_site_type_symbol
_atom_site_fract_x
_atom_site_fract_y
_atom_site_fract_z
_atom_site_occupancy
Ca1 Ca 0.000 0.000 0.000 1
Ca2 Ca 0.000 0.500 0.250 1
Zn1 Zn 0.000 0.500 0.750 1
Br1 Br 0.000 0.000 0.500 1